Computed, not measured: an optimized crystal structure of Ti3PO2 at the GGA-PBEsol level of DFT.

a b c (Å): 3.1242 3.1242 7.9601
angles (deg): 90.00 90.00 120.00
Last column: nearest neighbours and their distance in Å.
Element x y z (fractional)
Ti1 0.3333 0.6667 0.2900  3 O 2.15
Ti2 0.6667 0.3333 0.7100  3 O 2.15
Ti3 0.0000 0.0000 0.0000  6 O 2.13
P1 0.0000 0.0000 0.5000  6 Ti 2.46
O1 0.6667 0.3333 0.1422  6 Ti 2.13-2.15
O2 0.3333 0.6667 0.8578  6 Ti 2.13-2.15

Properties
Its symmetry is P-3m1 (164). As for the density of states at the Fermi level: 4.19 states/eV/cell.



Computed, not measured: an optimized crystal structure of TiVP3O12 at the GGA-PBEsol level of DFT.

a b c (Å): 8.4843 8.4843 8.7076
angles (deg): 60.84 60.84 60.00
Last column: nearest neighbours and their distance in Å.
Element x y z (fractional)
O1 0.0062 0.6513 0.5757  1 P 1.54
O2 0.7668 0.0062 0.5757  1 P 1.54
O3 0.7157 0.8629 0.9224  1 P 1.51
O4 0.9495 0.7141 0.2764  1 P 1.56
O5 0.7907 0.5719 0.2243  1 P 1.52
O6 0.8629 0.4990 0.9224  1 P 1.51
O7 0.2668 0.1513 0.0757  1 P 1.54
O8 0.9990 0.3629 0.4224  1 P 1.51
O9 0.3629 0.2157 0.4224  1 P 1.51
O10 0.5062 0.2668 0.0757  1 P 1.54
O11 0.6513 0.7668 0.5757  1 P 1.54
O12 0.0719 0.2907 0.7243  1 P 1.52
O13 0.5719 0.4130 0.2243  1 P 1.52
O14 0.2157 0.9990 0.4224  1 P 1.51
O15 0.2141 0.4495 0.7764  1 P 1.56
O16 0.4495 0.5601 0.7764  1 P 1.56
O17 0.4130 0.7907 0.2243  1 P 1.52
O18 0.9130 0.0719 0.7243  1 P 1.52
O19 0.2907 0.9130 0.7243  1 P 1.52
O20 0.4990 0.7157 0.9224  1 P 1.51
O21 0.0601 0.9495 0.2764  1 P 1.56
O22 0.5601 0.2141 0.7764  1 P 1.56
O23 0.1513 0.5062 0.0757  1 P 1.54
O24 0.7141 0.0601 0.2764  1 P 1.56
P1 0.0331 0.4742 0.7491  4 O 1.51-1.56
P2 0.5331 0.2436 0.2491  4 O 1.51-1.56
P3 0.9742 0.5331 0.2491  4 O 1.51-1.56
P4 0.2436 0.9742 0.2491  4 O 1.51-1.56
P5 0.7436 0.0331 0.7491  4 O 1.51-1.56
P6 0.4742 0.7436 0.7491  4 O 1.51-1.56
V1 0.8605 0.8605 0.4185  6 O 1.82-1.91
V2 0.3605 0.3605 0.9185  6 O 1.82-1.91
Ti1 0.6392 0.6392 0.0823  6 O 1.91-1.93
Ti2 0.1392 0.1392 0.5823  6 O 1.91-1.93

Properties
Its symmetry is R3c (161).



Computed, not measured: an optimized crystal structure of TiVP2O8 at the GGA-PBEsol level of DFT.

a b c (Å): 8.3877 8.3877 8.3877
angles (deg): 61.63 61.63 61.63
Last column: nearest neighbours and their distance in Å.
Element x y z (fractional)
O1 0.9065 0.2555 0.0549  1 P 1.55
O2 0.0549 0.9065 0.2555  1 P 1.55
O3 0.6133 0.9985 0.8243  1 P 1.53
O4 0.9962 0.1815 0.3845  1 P 1.51
O5 0.9449 0.0923 0.7408  1 P 1.56
O6 0.1164 0.3216 0.4968  1 P 1.53
O7 0.7573 0.4079 0.5605  1 P 1.56
O8 0.4079 0.5605 0.7573  1 P 1.56
O9 0.4968 0.1164 0.3216  1 P 1.53
O10 0.6744 0.5042 0.8884  1 P 1.53
O11 0.5605 0.7573 0.4079  1 P 1.56
O12 0.0923 0.7408 0.9449  1 P 1.56
O13 0.8884 0.6744 0.5042  1 P 1.53
O14 0.3216 0.4968 0.1164  1 P 1.53
O15 0.5935 0.4435 0.2443  1 P 1.56
O16 0.5042 0.8884 0.6744  1 P 1.53
O17 0.2555 0.0549 0.9065  1 P 1.55
O18 0.7408 0.9449 0.0923  1 P 1.56
O19 0.8243 0.6133 0.9985  1 P 1.53
O20 0.9985 0.8243 0.6133  1 P 1.53
O21 0.3845 0.9962 0.1815  1 P 1.51
O22 0.1815 0.3845 0.9962  1 P 1.51
O23 0.4435 0.2443 0.5935  1 P 1.56
O24 0.2443 0.5935 0.4435  1 P 1.56
Ti1 0.8592 0.8592 0.8592  6 O 1.91-2.03
Ti2 0.6422 0.6422 0.6422  6 O 1.91-2.03
Ti3 0.3588 0.3588 0.3588  6 O 1.90-2.05
V1 0.9977 0.9977 0.9977  6 O 2.10-2.13
V2 0.5015 0.5015 0.5015  6 O 2.12-2.13
V3 0.1400 0.1400 0.1400  6 O 1.93-2.04
P1 0.0441 0.7515 0.4553  4 O 1.53-1.56
P2 0.2501 0.5398 0.9578  4 O 1.51-1.56
P3 0.9578 0.2501 0.5398  4 O 1.51-1.56
P4 0.4553 0.0441 0.7515  4 O 1.53-1.56
P5 0.7515 0.4553 0.0441  4 O 1.53-1.56
P6 0.5398 0.9578 0.2501  4 O 1.51-1.56

Properties
Its symmetry is R3 (146). As for the density of states at the Fermi level: 11.94 states/eV/cell.



Computed, not measured: an optimized crystal structure of TiV3P6O24 at the GGA-PBEsol level of DFT.

a b c (Å): 8.4170 8.4170 8.6707
angles (deg): 60.96 60.96 60.00
Last column: nearest neighbours and their distance in Å.
Element x y z (fractional)
O1 0.4929 0.1331 0.0719  1 P 1.53
O2 0.3022 0.4929 0.0719  1 P 1.53
O3 0.7561 0.6499 0.5816  1 P 1.52
O4 0.5728 0.7767 0.2280  1 P 1.54
O5 0.6974 0.9591 0.2754  1 P 1.53
O6 0.1331 0.3022 0.0719  1 P 1.53
O7 0.9913 0.2461 0.4203  1 P 1.53
O8 0.7767 0.4224 0.2280  1 P 1.54
O9 0.9409 0.2960 0.7202  1 P 1.55
O10 0.7121 0.4983 0.9274  1 P 1.53
O11 0.4983 0.8623 0.9274  1 P 1.53
O12 0.9591 0.0680 0.2754  1 P 1.53
O13 0.0429 0.9409 0.7202  1 P 1.55
O14 0.0124 0.7561 0.5816  1 P 1.52
O15 0.2960 0.0429 0.7202  1 P 1.55
O16 0.0680 0.6974 0.2754  1 P 1.53
O17 0.2244 0.5865 0.7755  1 P 1.54
O18 0.4224 0.5728 0.2280  1 P 1.54
O19 0.4136 0.2244 0.7755  1 P 1.54
O20 0.8623 0.7121 0.9274  1 P 1.53
O21 0.5865 0.4136 0.7755  1 P 1.54
O22 0.6499 0.0124 0.5816  1 P 1.52
O23 0.2461 0.3423 0.4203  1 P 1.53
O24 0.3423 0.9913 0.4203  1 P 1.53
V1 0.6395 0.6395 0.0816  6 O 1.83-1.90
V2 0.1410 0.1410 0.5769  6 O 1.85-1.90
V3 0.3604 0.3604 0.9187  6 O 1.84-1.87
Ti1 0.8599 0.8599 0.4204  6 O 1.91-1.95
P1 0.4687 0.0320 0.7501  4 O 1.52-1.55
P2 0.9686 0.2560 0.2504  4 O 1.53-1.54
P3 0.7492 0.4687 0.7501  4 O 1.52-1.55
P4 0.5251 0.9686 0.2504  4 O 1.53-1.54
P5 0.2560 0.5251 0.2504  4 O 1.53-1.54
P6 0.0320 0.7492 0.7501  4 O 1.52-1.55

Properties
Its symmetry is R3 (146). As for the density of states at the Fermi level: 8.03 states/eV/cell.



Computed, not measured: an optimized crystal structure of TiP2WO at the GGA-PBEsol level of DFT.

a b c (Å): 3.5175 4.7208 4.7208
angles (deg): 90.00 90.00 90.00
Last column: nearest neighbours and their distance in Å.
Element x y z (fractional)
O1 0.5000 0.0000 0.0000  2 Ti 1.76
W1 0.5000 0.5000 0.5000  8 P 2.94
Ti1 0.0000 0.0000 0.0000  2 O 1.76
P1 0.0000 0.5000 0.0000  2 Ti 2.36
P2 0.0000 0.0000 0.5000  2 Ti 2.36

Properties
Its symmetry is P4/mmm (123). As for the density of states at the Fermi level: 3.47 states/eV/cell.



Computed, not measured: an optimized crystal structure of TiPWO2 at the GGA-PBEsol level of DFT.

a b c (Å): 3.7750 3.7750 5.0933
angles (deg): 90.00 90.00 90.00
Last column: nearest neighbours and their distance in Å.
Element x y z (fractional)
Ti1 0.5000 0.5000 0.5000  4 P 2.67
W1 0.0000 0.0000 0.0000  4 O 1.89
P1 0.0000 0.0000 0.5000  2 W 2.55, 4 Ti 2.67
O1 0.0000 0.5000 0.0000  2 W 1.89
O2 0.5000 0.0000 0.0000  2 W 1.89

Properties
Its symmetry is P4/mmm (123). As for the density of states at the Fermi level: 4.99 states/eV/cell.



Computed, not measured: an optimized crystal structure of TiP3WO12 at the GGA-PBEsol level of DFT.

a b c (Å): 8.6128 8.6128 8.8432
angles (deg): 60.86 60.86 60.00
Last column: nearest neighbours and their distance in Å.
Element x y z (fractional)
P1 0.9654 0.2521 0.2521  4 O 1.52-1.55
P2 0.0303 0.7521 0.7521  4 O 1.52-1.55
P3 0.4654 0.0303 0.7521  4 O 1.52-1.55
P4 0.5303 0.9654 0.2521  4 O 1.52-1.55
P5 0.7521 0.4654 0.7521  4 O 1.52-1.55
P6 0.2521 0.5303 0.2521  4 O 1.52-1.55
O1 0.2220 0.3606 0.4198  1 P 1.52
O2 0.9410 0.0747 0.2736  1 P 1.55
O3 0.0747 0.7108 0.2736  1 P 1.55
O4 0.5057 0.1410 0.0793  1 P 1.55
O5 0.2108 0.5747 0.7736  1 P 1.55
O6 0.2740 0.5057 0.0793  1 P 1.55
O7 0.7108 0.9410 0.2736  1 P 1.55
O8 0.4410 0.2108 0.7736  1 P 1.55
O9 0.6410 0.0057 0.5793  1 P 1.55
O10 0.7740 0.6410 0.5793  1 P 1.55
O11 0.0633 0.9235 0.7233  1 P 1.52
O12 0.9976 0.2220 0.4198  1 P 1.52
O13 0.0057 0.7740 0.5793  1 P 1.55
O14 0.1410 0.2740 0.0793  1 P 1.55
O15 0.2899 0.0633 0.7233  1 P 1.52
O16 0.9235 0.2899 0.7233  1 P 1.52
O17 0.4976 0.8606 0.9198  1 P 1.52
O18 0.8606 0.7220 0.9198  1 P 1.52
O19 0.7899 0.4235 0.2233  1 P 1.52
O20 0.7220 0.4976 0.9198  1 P 1.52
O21 0.5747 0.4410 0.7736  1 P 1.55
O22 0.3606 0.9976 0.4198  1 P 1.52
O23 0.4235 0.5633 0.2233  1 P 1.52
O24 0.5633 0.7899 0.2233  1 P 1.52
W1 0.3584 0.3584 0.9248  6 O 1.93-1.95
W2 0.8584 0.8584 0.4248  6 O 1.93-1.95
Ti1 0.6413 0.6413 0.0760  6 O 1.92-1.95
Ti2 0.1413 0.1413 0.5760  6 O 1.92-1.95

Properties
Its symmetry is R3c (161). As for the density of states at the Fermi level: 11.71 states/eV/cell.



Result set for M_tot: 0.00; 0.00; 7.67; 1.06; 1.20; 1.44; 2.07 μB per cell, one per record in the order listed.
Result set for formation energy without anion corrections: -1.892; -2.378; -2.392; -2.309; 0.053; -1.034; -2.330 eV/atom, one per record in the order listed.